A geometry-optimized BaTeAs2 structure, computed with PBE-GGA.

Energy relative to the elements, uncorrected ... -0.268 eV/atom
D(E_F) ... 0.98 states/eV per atom
Calculated density ... 6126 kg/m³
Crystal system ... tetragonal

a b c (Å): 4.5463 4.5463 10.8786
angles (deg): 90.00 90.00 90.00
With the nearest neighbours (Å) after each atom.
Space group I-4m2 (No. 119)
One atom of each set of equivalent atoms:
Ba: 0.0000 0.0000 0.0000 x2  8 As 3.21-3.54, 4 Te 3.54
Te: 0.0000 0.5000 0.7500 x2  8 As 3.21-3.54, 4 Ba 3.54
As: 0.0000 0.0000 0.5000 x2  4 Ba 3.21, 4 As 3.54, 4 Te 3.54
As: 0.0000 0.5000 0.2500 x2  4 Te 3.21, 4 Ba 3.54, 4 As 3.54

***

A geometry-optimized BaTe4As structure, computed with PBE-GGA.

Energy relative to the elements, uncorrected ... -0.065 eV/atom
D(E_F) ... 0.69 states/eV per atom
Calculated density ... 6347 kg/m³
Crystal system ... cubic

a b c (Å): 9.1110 9.1110 9.1110
angles (deg): 90.00 90.00 90.00
With the nearest neighbours (Å) after each atom.
Space group F-43m (No. 216)
One atom of each set of equivalent atoms:
Ba: 0.0000 0.0000 0.0000 x4  12 Te 3.78, 4 As 3.95
Te: 0.1241 0.1241 0.6241 x16  6 Te 3.20-3.24
As: 0.2500 0.2500 0.2500 x4  12 Te 3.77, 4 Ba 3.95

***

A geometry-optimized Ba4TeAs2 structure, computed with PBE-GGA.

Energy relative to the elements, uncorrected ... -1.243 eV/atom
E above lowest polymorph ... 0.0 meV per atom
Calculated density ... 4368 kg/m³
Crystal system ... tetragonal

a b c (Å): 10.6200 10.6200 11.1462
angles (deg): 90.00 90.00 90.00
With the nearest neighbours (Å) after each atom.
Space group I4_1/amd (No. 141, origin choice 2)
One atom of each set of equivalent atoms:
Ba: 0.0000 0.0634 0.2190 x16  3 As 3.20-3.33, 1 Te 3.49
Te: 0.0000 0.2500 0.8750 x4  4 Ba 3.49
As: 0.0000 0.0000 0.5000 x8  6 Ba 3.20-3.33

***

A geometry-optimized BaTeAs2 structure, computed with PBE-GGA.

Energy relative to the elements, uncorrected ... -0.609 eV/atom
D(E_F) ... 0.24 states/eV per atom
Calculated density ... 4939 kg/m³
Crystal system ... monoclinic

a b c (Å): 12.8806 4.1807 5.5076
angles (deg): 90.00 109.88 90.00
With the nearest neighbours (Å) after each atom.
Space group C2/m (No. 12)
One atom of each set of equivalent atoms:
Ba: 0.0000 0.0000 0.0000 x2  2 As 3.30, 4 Te 3.46
Te: 0.0000 0.5000 0.5000 x2  2 As 2.92
As: 0.2288 0.5000 0.8479 x4  2 As 2.62, 1 Te 2.92

***

A geometry-optimized BaTeAs2 structure, computed with PBE-GGA.

Energy relative to the elements, uncorrected ... -0.266 eV/atom
D(E_F) ... 0.59 states/eV per atom
Calculated density ... 5907 kg/m³
Crystal system ... orthorhombic

a b c (Å): 5.7732 6.1996 6.5152
angles (deg): 90.00 90.00 90.00
With the nearest neighbours (Å) after each atom.
Space group Cmmm (No. 65)
One atom of each set of equivalent atoms:
Ba: 0.0000 0.0000 0.0000 x2  2 Te 3.26, 4 As 3.52
Te: 0.0000 0.0000 0.5000 x2  8 As 3.14-3.34, 2 Ba 3.26
As: 0.0000 0.5000 0.3093 x4  1 As 2.48

***

A geometry-optimized Ba3Te12As5 structure, computed with PBE-GGA.

Energy relative to the elements, uncorrected ... -0.411 eV/atom
D(E_F) ... 0.49 states/eV per atom
Calculated density ... 5142 kg/m³
Crystal system ... cubic

a b c (Å): 18.1586 18.1586 18.1586
angles (deg): 90.00 90.00 90.00
With the nearest neighbours (Å) after each atom.
Space group Ia-3d (No. 230)
One atom of each set of equivalent atoms:
Ba: 0.0000 0.2500 0.1250 x24  8 Te 3.52-3.62
Te: 0.0299 0.0543 0.6464 x96  2 As 2.74-2.89
As: 0.0000 0.0000 0.0000 x16  6 Te 2.89
As: 0.0000 0.2500 0.3750 x24  4 Te 2.74

***

A geometry-optimized Ba4TeAs2 structure, computed with PBE-GGA.

Energy relative to the elements, uncorrected ... -0.803 eV/atom
D(E_F) ... 0.29 states/eV per atom
E above lowest polymorph ... 440.1 meV per atom
Calculated density ... 3976 kg/m³
Crystal system ... tetragonal

a b c (Å): 6.2909 6.2909 17.4504
angles (deg): 90.00 90.00 90.00
With the nearest neighbours (Å) after each atom.
Space group I4/mmm (No. 139)
One atom of each set of equivalent atoms:
Ba: 0.0000 0.0000 0.1987 x4  1 As 3.14, 1 Te 3.47
Ba: 0.0000 0.5000 0.0000 x4  2 Te 3.15
Te: 0.0000 0.0000 0.0000 x2  6 Ba 3.15-3.47
As: 0.0000 0.0000 0.3788 x4  1 Ba 3.14

***

A geometry-optimized BaTeAs2 structure, computed with PBE-GGA.

Energy relative to the elements, uncorrected ... -0.619 eV/atom
D(E_F) ... 0.03 states/eV per atom
Calculated density ... 5277 kg/m³
Crystal system ... monoclinic

a b c (Å): 5.2922 4.1753 6.2863
angles (deg): 90.00 110.01 90.00
With the nearest neighbours (Å) after each atom.
Space group Pm (No. 6)
One atom of each set of equivalent atoms:
Ba: 0.0000 0.0000 0.0000 x1  4 As 3.35-3.41, 4 Te 3.49-3.57
Te: 0.4189 0.5000 0.8250 x1  1 As 2.77
As: 0.5644 0.0000 0.4550 x1  2 As 2.60
As: 0.7170 0.5000 0.2827 x1  2 As 2.60, 1 Te 2.77

***

A geometry-optimized BaTeAs3 structure, computed with PBE-GGA.

Energy relative to the elements, uncorrected ... 0.075 eV/atom
D(E_F) ... 1.27 states/eV per atom
E above lowest polymorph ... 0.0 meV per atom
Calculated density ... 5153 kg/m³
Crystal system ... cubic

a b c (Å): 5.4040 5.4040 5.4040
angles (deg): 90.00 90.00 90.00
With the nearest neighbours (Å) after each atom.
Space group Pm-3m (No. 221)
One atom of each set of equivalent atoms:
Ba: 0.0000 0.0000 0.0000 x1  12 As 3.82
Te: 0.5000 0.5000 0.5000 x1  6 As 2.70
As: 0.0000 0.5000 0.5000 x3  2 Te 2.70

***

A geometry-optimized BaTeAs2 structure, computed with PBE-GGA.

Energy relative to the elements, uncorrected ... -0.323 eV/atom
D(E_F) ... 0.89 states/eV per atom
Calculated density ... 5586 kg/m³
Crystal system ... trigonal

a b c (Å): 4.3642 4.3642 22.4245
angles (deg): 90.00 90.00 120.00
With the nearest neighbours (Å) after each atom.
Space group R-3m (No. 166, hexagonal axes)
One atom of each set of equivalent atoms:
Ba: 0.0000 0.0000 0.0000 x3  6 As 3.33
Te: 0.0000 0.0000 0.5000 x3  6 As 2.96
As: 0.0000 0.0000 0.2363 x6  3 Te 2.96

***

A geometry-optimized Ba4TeAs structure, computed with PBE-GGA.

Energy relative to the elements, uncorrected ... -0.089 eV/atom
D(E_F) ... 0.71 states/eV per atom
Calculated density ... 5168 kg/m³
Crystal system ... cubic

a b c (Å): 9.8860 9.8860 9.8860
angles (deg): 90.00 90.00 90.00
With the nearest neighbours (Å) after each atom.
Space group F-43m (No. 216)
One atom of each set of equivalent atoms:
Ba: 0.1253 0.1253 0.1253 x16  6 Ba 3.49-3.50
Te: 0.2500 0.2500 0.7500 x4  12 Ba 4.10, 4 As 4.28
As: 0.0000 0.0000 0.5000 x4  12 Ba 4.10, 4 Te 4.28

***

A geometry-optimized BaTe2As2 structure, computed with PBE-GGA.

Energy relative to the elements, uncorrected ... -0.275 eV/atom
D(E_F) ... 0.28 states/eV per atom
E above lowest polymorph ... 189.5 meV per atom
Calculated density ... 5917 kg/m³
Crystal system ... tetragonal

a b c (Å): 4.1026 4.1026 18.0871
angles (deg): 90.00 90.00 90.00
With the nearest neighbours (Å) after each atom.
Space group I4/mmm (No. 139)
One atom of each set of equivalent atoms:
Ba: 0.0000 0.0000 0.0000 x2  8 Te 3.53
Te: 0.0000 0.0000 0.3888 x4  4 As 3.24, 4 Ba 3.53
As: 0.0000 0.5000 0.2500 x4  4 As 2.90, 4 Te 3.24

***

A geometry-optimized BaTeAs2 structure, computed with PBE-GGA.

Energy relative to the elements, uncorrected ... -0.526 eV/atom
D(E_F) ... 0.74 states/eV per atom
Calculated density ... 5928 kg/m³
Crystal system ... monoclinic

a b c (Å): 11.4327 3.9254 5.8479
angles (deg): 90.00 117.69 90.00
With the nearest neighbours (Å) after each atom.
Space group Cm (No. 8)
One atom of each set of equivalent atoms:
Ba: 0.0000 0.0000 0.0000 x2  8 As 3.49-3.77, 4 Te 3.55-3.62
Te: 0.2994 0.5000 0.3204 x2  4 As 3.17-3.28, 1 Ba 3.55
As: 0.0459 0.5000 0.5386 x2  2 As 2.59
As: 0.2124 0.0000 0.6640 x2  2 As 2.59

***

A geometry-optimized Ba2Te4As structure, computed with PBE-GGA.

Energy relative to the elements, uncorrected ... -0.935 eV/atom
D(E_F) ... 0.37 states/eV per atom
Calculated density ... 5324 kg/m³
Crystal system ... monoclinic

a b c (Å): 7.5890 7.6371 9.7716
angles (deg): 90.00 108.71 90.00
With the nearest neighbours (Å) after each atom.
Space group P2_1/m (No. 11)
One atom of each set of equivalent atoms:
Ba: 0.2376 0.2500 0.0547 x2  8 Te 3.57-3.93
Ba: 0.2568 0.2500 0.5685 x2  8 Te 3.57-3.93, 1 As 3.65
Te: 0.0031 0.5110 0.7460 x4  1 As 2.63
Te: 0.3636 0.7500 0.0744 x2  1 As 2.77
Te: 0.3868 0.7500 0.6111 x2  1 As 2.79
As: 0.2360 0.7500 0.3104 x2  4 Te 2.63-2.79

***

A geometry-optimized BaTeAs3 structure, computed with PBE-GGA.

Energy relative to the elements, uncorrected ... 1.232 eV/atom
D(E_F) ... 1.75 states/eV per atom
E above lowest polymorph ... 1156.9 meV per atom
Calculated density ... 4187 kg/m³
Crystal system ... cubic

a b c (Å): 5.7912 5.7912 5.7912
angles (deg): 90.00 90.00 90.00
With the nearest neighbours (Å) after each atom.
Space group Pm-3m (No. 221)
One atom of each set of equivalent atoms:
Ba: 0.0000 0.0000 0.0000 x1  6 As 2.90
Te: 0.5000 0.5000 0.5000 x1  12 As 4.09
As: 0.0000 0.0000 0.5000 x3  2 Ba 2.90

***

A geometry-optimized BaTeAs4 structure, computed with PBE-GGA.

Energy relative to the elements, uncorrected ... -0.320 eV/atom
Calculated density ... 5350 kg/m³
Crystal system ... cubic

a b c (Å): 8.8831 8.8831 8.8831
angles (deg): 90.00 90.00 90.00
With the nearest neighbours (Å) after each atom.
Space group F-43m (No. 216)
One atom of each set of equivalent atoms:
Ba: 0.0000 0.0000 0.0000 x4  12 As 3.77, 4 Te 3.85
Te: 0.2500 0.2500 0.7500 x4  12 As 3.63, 4 Ba 3.85
As: 0.0994 0.0994 0.4006 x16  3 As 2.50

***

A geometry-optimized BaTeAs2 structure, computed with PBE-GGA.

Energy relative to the elements, uncorrected ... -0.337 eV/atom
D(E_F) ... 0.83 states/eV per atom
Calculated density ... 6218 kg/m³
Crystal system ... tetragonal

a b c (Å): 4.8167 4.8167 4.7738
angles (deg): 90.00 90.00 90.00
With the nearest neighbours (Å) after each atom.
Space group P4/mmm (No. 123)
One atom of each set of equivalent atoms:
Ba: 0.0000 0.0000 0.0000 x1  8 As 3.39, 4 Te 3.41
Te: 0.5000 0.5000 0.0000 x1  8 As 3.39, 4 Ba 3.41
As: 0.0000 0.5000 0.5000 x2  4 Ba 3.39, 4 Te 3.39, 4 As 3.41

***

A geometry-optimized BaTe2As2 structure, computed with PBE-GGA.

Energy relative to the elements, uncorrected ... -0.307 eV/atom
D(E_F) ... 0.61 states/eV per atom
E above lowest polymorph ... 157.1 meV per atom
Calculated density ... 5784 kg/m³
Crystal system ... tetragonal

a b c (Å): 4.7984 4.7984 13.5260
angles (deg): 90.00 90.00 90.00
With the nearest neighbours (Å) after each atom.
Space group I4/mmm (No. 139)
One atom of each set of equivalent atoms:
Ba: 0.0000 0.0000 0.0000 x2  8 As 3.59
Te: 0.0000 0.5000 0.2500 x4  4 As 3.27, 4 Te 3.39
As: 0.0000 0.0000 0.4143 x4  1 As 2.32

***

A geometry-optimized BaTeAs2 structure, computed with PBE-GGA.

Energy relative to the elements, uncorrected ... -0.263 eV/atom
D(E_F) ... 0.67 states/eV per atom
Calculated density ... 6092 kg/m³
Crystal system ... tetragonal

a b c (Å): 4.6505 4.6505 10.4544
angles (deg): 90.00 90.00 90.00
With the nearest neighbours (Å) after each atom.
Space group I4/mmm (No. 139)
One atom of each set of equivalent atoms:
Ba: 0.0000 0.0000 0.0000 x2  4 Te 3.29, 8 As 3.50
Te: 0.0000 0.0000 0.5000 x2  4 Ba 3.29, 8 As 3.50
As: 0.0000 0.5000 0.2500 x4  4 As 3.29, 4 Ba 3.50, 4 Te 3.50

***

A geometry-optimized BaTeAs2 structure, computed with PBE-GGA.

Energy relative to the elements, uncorrected ... -0.372 eV/atom
D(E_F) ... 0.48 states/eV per atom
Calculated density ... 6025 kg/m³
Crystal system ... orthorhombic

a b c (Å): 4.1619 5.6415 9.7366
angles (deg): 90.00 90.00 90.00
With the nearest neighbours (Å) after each atom.
Space group Immm (No. 71)
One atom of each set of equivalent atoms:
Ba: 0.0000 0.0000 0.0000 x2  8 As 3.48-3.51, 4 Te 3.51
Te: 0.0000 0.0000 0.5000 x2  4 As 2.94
As: 0.0000 0.5000 0.2137 x4  2 Te 2.94

***

What size of the total moment values result from the calculations? In sequence: 0.0 0.0 0.0 0.0 0.0 0.0 0.0 0.0 0.0 0.0 0.0 0.0 0.0 0.0 0.0 0.0 0.0 0.0 0.0 0.0 μB/f.u..